Compound: Tb2MgCd
Source: Alexandria
Functional: PBE-GGA
Structure: relaxed

abc: 5.2849 5.2849 3.8464
angles: 90.00 90.00 90.00
Fractional coordinates of all 4 atoms:
Tb1 0.0000 0.5000 0.0000
Tb2 0.5000 0.0000 0.0000
Mg1 0.0000 0.0000 0.5000
Cd1 0.5000 0.5000 0.5000

Values from the calculation:
Final energy (eV per atom): -3.148